First-principles (PBE) data for Y2RuPb after structural relaxation, as listed in Alexandria via LeMat-Bulk. Values from VASP.

Summary:
Energy of formation from the pure elements   -0.29 eV/atom
Crystal system   tetragonal
Spin magnetization   0.0 μB/cell
SG   P4/mmm, No. 123
Calculated total energy   -27.1 eV per cell
Mass density   8.5 Mg/m³

```
&SYSTEM
  ibrav = 0, nat = 4, ntyp = 3
/
ATOMIC_SPECIES
Y 88.91 Y.upf
Pb 207.20 Pb.upf
Ru 101.07 Ru.upf
CELL_PARAMETERS angstrom
-3.1452 -3.4314 -1.7021
3.3977 -3.5178 0.8030
-1.3745 -0.5106 3.5723
ATOMIC_POSITIONS angstrom
Y 0.1263 -3.4746 -0.4496
Y 0.0000 0.0000 0.0000
Pb -2.2598 -1.9710 0.9351
Ru 1.0116 -2.0142 2.1877
```